First-principles (PBE-GGA) data for Cr2RuRh8 after structural relaxation, as listed in Alexandria via LeMat-Bulk.

Properties
As for the calculated density: 10.84 g/cm³. As for the total energy: -0.2861 Ha/atom. The calculation puts the formation energy at 0.15 eV/atom. The total magnetization comes out at 0.52 μB per cell.

abc: 7.4350 7.4350 4.6046
angles: 104.52 104.52 39.93
With the nearest neighbours (Å) after each atom.
Sites, in units of the cell vectors:
Cr 0.2374 0.2374 0.3734  7 Rh 2.38-2.51
Cr 0.7626 0.7626 0.6266  7 Rh 2.38-2.51
Ru 0.5000 0.5000 0.0000  10 Rh 2.65-2.84
Rh 0.0886 0.0886 0.9724  1 Cr 2.38, 3 Rh 2.56-2.60
Rh 0.1514 0.6459 0.5058  2 Cr 2.48-2.51, 4 Rh 2.51-2.69, 1 Ru 2.65
Rh 0.3024 0.3024 0.9367  2 Cr 2.42-2.51, 1 Ru 2.70
Rh 0.3541 0.8486 0.4942  2 Cr 2.48-2.51, 4 Rh 2.51-2.69, 1 Ru 2.65
Rh 0.6459 0.1514 0.5058  2 Cr 2.48-2.51, 4 Rh 2.51-2.69, 1 Ru 2.65
Rh 0.6976 0.6976 0.0633  2 Cr 2.42-2.51, 1 Ru 2.70
Rh 0.8486 0.3541 0.4942  2 Cr 2.48-2.51, 4 Rh 2.51-2.69, 1 Ru 2.65
Rh 0.9114 0.9114 0.0276  1 Cr 2.38, 3 Rh 2.56-2.60


First-principles (PBE-GGA) data for Cu2TcPRh after structural relaxation, as listed in Alexandria via LeMat-Bulk.

Properties
As for the calculated density: 7.59 g/cm³. As for the total energy: -0.2091 Ha/atom. The calculation puts the formation energy at 0.57 eV/atom. The total magnetization comes out at 1.90 μB per cell.

abc: 4.2045 4.2045 4.4403
angles: 90.00 90.00 90.00
With the nearest neighbours (Å) after each atom.
Sites, in units of the cell vectors:
Cu 0.0000 0.5000 0.0000  2 P 2.10
Cu 0.5000 0.0000 0.0000  2 P 2.10
Tc 0.0000 0.0000 0.5000  2 P 2.22
P 0.0000 0.0000 0.0000  4 Cu 2.10, 2 Tc 2.22
Rh 0.5000 0.5000 0.5000  4 Tc 2.97, 8 Cu 3.06


First-principles (PBE-GGA) data for Be3As5 after structural relaxation, as listed in Alexandria via LeMat-Bulk.

Properties
As for the calculated density: 5.23 g/cm³. As for the total energy: -0.1404 Ha/atom. The calculation puts the formation energy at 0.48 eV/atom. The total magnetization comes out at 0.00 μB per cell.

abc: 7.4084 7.4084 5.3629
angles: 90.00 90.00 120.00
With the nearest neighbours (Å) after each atom.
Sites, in units of the cell vectors:
Be 0.0000 0.4668 0.2500  5 As 2.41-2.54
Be 0.0000 0.5332 0.7500  5 As 2.41-2.54
Be 0.4668 0.0000 0.2500  5 As 2.41-2.54
Be 0.4668 0.4668 0.7500  5 As 2.41-2.54
Be 0.5332 0.0000 0.7500  5 As 2.41-2.54
Be 0.5332 0.5332 0.2500  5 As 2.41-2.54
As 0.0000 0.2075 0.7500  1 Be 2.41, 2 As 2.66
As 0.0000 0.7925 0.2500  1 Be 2.41, 2 As 2.66
As 0.2075 0.0000 0.7500  1 Be 2.41, 2 As 2.66
As 0.2075 0.2075 0.2500  1 Be 2.41, 2 As 2.66
As 0.3333 0.6667 0.0000  6 Be 2.54, 2 As 2.68
As 0.3333 0.6667 0.5000  6 Be 2.54, 2 As 2.68
As 0.6667 0.3333 0.0000  6 Be 2.54, 2 As 2.68
As 0.6667 0.3333 0.5000  6 Be 2.54, 2 As 2.68
As 0.7925 0.0000 0.2500  1 Be 2.41, 2 As 2.66
As 0.7925 0.7925 0.7500  1 Be 2.41, 2 As 2.66


First-principles (PBE-GGA) data for Mn2GeHPb after structural relaxation, as listed in Alexandria via LeMat-Bulk.

Properties
As for the calculated density: 8.44 g/cm³. As for the total energy: -0.2044 Ha/atom. The total magnetization comes out at 7.17 μB per cell.

abc: 4.1208 4.1208 4.5262
angles: 90.00 90.00 90.00
With the nearest neighbours (Å) after each atom.
Sites, in units of the cell vectors:
Mn 0.0000 0.5000 0.0000  2 H 2.06
Mn 0.5000 0.0000 0.0000  2 H 2.06
Ge 0.0000 0.0000 0.5000  2 H 2.26
H 0.0000 0.0000 0.0000  4 Mn 2.06, 2 Ge 2.26
Pb 0.5000 0.5000 0.5000  4 Ge 2.91, 8 Mn 3.06


First-principles (PBE-GGA) data for ThScI2 after structural relaxation, as listed in Alexandria via LeMat-Bulk.

Properties
As for the calculated density: 6.98 g/cm³. As for the total energy: -0.1716 Ha/atom. The uncorrected formation energy is -0.456 eV per atom. The total magnetization comes out at 0.00 μB per cell.

abc: 10.7665 10.7665 10.7665
angles: 19.88 19.88 19.88
With the nearest neighbours (Å) after each atom.
Sites, in units of the cell vectors:
Th 0.0000 0.0000 0.0000  2 I 3.28
Sc 0.5000 0.5000 0.5000  6 I 2.93
I 0.1035 0.1035 0.1035  3 Sc 2.93, 1 Th 3.28
I 0.8965 0.8965 0.8965  3 Sc 2.93, 1 Th 3.28


First-principles (PBE-GGA) data for AcPaPb2 after structural relaxation, as listed in Alexandria via LeMat-Bulk.

Properties
As for the calculated density: 11.35 g/cm³. As for the total energy: -0.1932 Ha/atom. The calculation puts the formation energy at 0.00 eV/atom. The total magnetization comes out at 2.50 μB per cell.

abc: 5.6514 5.6514 5.6514
angles: 60.00 60.00 60.00
With the nearest neighbours (Å) after each atom.
Sites, in units of the cell vectors:
Ac 0.0000 0.0000 0.0000  8 Pb 3.46
Pa 0.5000 0.5000 0.5000  8 Pb 3.46
Pb 0.2500 0.2500 0.2500  4 Ac 3.46, 4 Pa 3.46
Pb 0.7500 0.7500 0.7500  4 Ac 3.46, 4 Pa 3.46